Below is a relaxed structure of NbAgPCl2, with properties calculated at the PBE level.

Computed properties:
Calculated total energy in eV per atom: -4.53
Crystal system: tetragonal
Polymorph energy (0 for the lowest one) in eV per formula unit: 0.000

Geometry as POSCAR:
```
NbAgPCl2
1.0
4.846 0.000 0.000
0.000 4.846 0.000
0.000 0.000 4.986
P Nb Ag Cl
1 1 1 2
direct
0.000 0.000 0.500
0.000 0.000 0.000
0.500 0.500 0.500
0.000 0.500 0.000
0.500 0.000 0.000
```


Below is a relaxed structure of Pm4CdPd2, with properties calculated at the PBE level.

Computed properties:
Calculated total energy in eV per atom: -4.83
Crystal system: monoclinic
Energy relative to the elements in eV/atom: -0.50

Geometry as POSCAR:
```
Pm4CdPd2
1.0
8.706 -2.090 -0.240
-2.724 8.532 0.159
-2.921 -3.355 5.627
Pm Cd Pd
8 2 4
direct
0.963 0.266 0.401
0.368 0.546 0.275
0.832 0.595 0.564
0.796 0.118 0.775
0.400 0.001 0.250
0.251 0.150 0.750
0.516 0.713 0.901
0.845 0.582 0.064
0.277 0.795 0.579
0.045 0.027 0.079
0.449 0.367 0.557
0.790 0.852 0.374
0.617 0.199 0.057
0.102 0.540 0.874
```


Below is a relaxed structure of DyPd4Au2, with properties calculated at the PBE level.

Computed properties:
Calculated total energy in eV per atom: -5.00
Crystal system: triclinic
Polymorph energy (0 for the lowest one) in eV per formula unit: 0.190
Energy relative to the elements in eV/atom: -0.44

Geometry as POSCAR:
```
DyPd4Au2
1.0
0.674 -3.862 -4.954
1.867 -4.925 4.428
-6.847 2.659 0.647
Dy Pd Au
2 8 4
direct
0.220 0.772 0.417
0.953 0.914 0.952
0.687 0.058 0.663
0.492 0.615 0.685
0.416 0.176 0.334
0.008 0.347 0.332
0.897 0.436 0.684
0.818 0.967 0.319
0.176 0.333 0.030
0.522 0.082 0.977
0.666 0.598 0.386
0.274 0.243 0.673
0.761 0.493 0.017
0.358 0.716 0.031
```


Below is a relaxed structure of Ca2AlAg, with properties calculated at the PBE level.

Computed properties:
Calculated total energy in eV per atom: -2.89
Crystal system: monoclinic
Energy relative to the elements in eV/atom: -0.25

Geometry as POSCAR:
```
Ca2AlAg
1.0
4.558 0.000 0.000
0.000 6.030 -0.014
0.000 -3.027 8.120
Ca Al Ag
4 2 2
direct
0.750 0.207 0.429
0.250 0.793 0.571
0.250 0.790 0.073
0.750 0.210 0.927
0.250 0.367 0.218
0.750 0.633 0.782
0.750 0.618 0.281
0.250 0.382 0.719
```


Below is a relaxed structure of Pr3Dy2PaP6, with properties calculated at the PBE level.

Computed properties:
Calculated total energy in eV per atom: -6.99
Crystal system: monoclinic
Energy relative to the elements in eV/atom: -1.53

Geometry as POSCAR:
```
Pr3Dy2PaP6
1.0
7.074 -0.001 0.002
-3.536 6.127 0.002
-1.178 -2.040 6.711
Pr Dy Pa P
3 2 1 6
direct
0.168 0.832 0.500
0.832 0.168 0.500
0.500 0.500 0.500
0.334 0.666 0.000
0.666 0.334 0.000
0.000 0.000 0.000
0.922 0.595 0.766
0.752 0.752 0.234
0.078 0.405 0.234
0.595 0.922 0.766
0.248 0.248 0.766
0.405 0.078 0.234
```


Below is a relaxed structure of BaSr2AlS, with properties calculated at the PBE level.

Computed properties:
Calculated total energy in eV per atom: -3.33
Crystal system: tetragonal

Geometry as POSCAR:
```
BaSr2AlS
1.0
5.706 0.000 0.000
0.000 6.102 0.000
0.000 0.000 5.706
Sr S Ba Al
2 1 1 1
direct
0.000 0.000 0.500
0.500 0.000 0.000
0.000 0.000 0.000
0.000 0.500 0.000
0.500 0.500 0.500
```


> calculated total energy of number 5 (Pr3Dy2PaP6)?

-6.99 eV per atom


> Which of these has the highest calculated total energy?

Ca2AlAg


> Number 6 is which compound?

BaSr2AlS